No. 1
YZrAg: optimized geometry, PBE.

The structure belongs to space group P6_3/mmc (No. 194); the cell edges are 4.6893, 4.6893 and 11.0061 Å and the angles 90.00°, 90.00° and 120.00°. Symmetry generates all atoms from Y at (0.0000, 0.0000, 0.2500), Zr at (0.0000, 0.0000, 0.0000) and Ag at (0.3333, 0.6667, 0.2500).

The calculation puts the formation energy at 1509.2 meV/atom. As for the total energy: -4.45 eV per atom. The energy above the most stable polymorph in this dataset comes out at 1656 meV/atom.

No. 2
YZrAg: optimized geometry, PBE.

The structure belongs to space group P-1 (No. 2); the cell edges are 3.3823, 6.6581 and 6.8375 Å and the angles 104.99°, 90.07° and 104.69°. Symmetry generates all atoms from Y at (0.1548, 0.3097, 0.3224), Zr at (0.1639, 0.3278, 0.8401), Ag at (0.5000, 0.0000, 0.0000) and Ag at (0.5000, 0.0000, 0.5000).

The calculation puts the formation energy at -83.5 meV/atom. As for the total energy: -6.04 eV per atom. The energy above the most stable polymorph in this dataset comes out at 63 meV/atom.

No. 3
Y3ZrAg: optimized geometry, PBE.

The structure belongs to space group Pm-3m (No. 221); the cell edges are 5.5036, 5.5036 and 5.5036 Å and the angles 90.00°, 90.00° and 90.00°. Symmetry generates all atoms from Y at (0.0000, 0.0000, 0.5000), Zr at (0.0000, 0.0000, 0.0000) and Ag at (0.5000, 0.5000, 0.5000).

The calculation puts the formation energy at 696.1 meV/atom. As for the total energy: -5.46 eV per atom. The energy above the most stable polymorph in this dataset comes out at 180 meV/atom.

No. 4
YZrAg3: optimized geometry, PBE.

The structure belongs to space group Pm-3m (No. 221); the cell edges are 5.1655, 5.1655 and 5.1655 Å and the angles 90.00°, 90.00° and 90.00°. Symmetry generates all atoms from Y at (0.0000, 0.0000, 0.0000), Zr at (0.5000, 0.5000, 0.5000) and Ag at (0.0000, 0.5000, 0.5000).

The calculation puts the formation energy at 707.8 meV/atom. As for the total energy: -4.01 eV per atom. The energy above the most stable polymorph in this dataset comes out at 0 meV/atom.